1.
Computed, not measured: a relaxed LuHPd3 crystal at the GGA-PBE level of DFT.

Properties
The size of the total moment comes out at 0.0 μB/f.u. The calculation puts the total energy at -27.30 eV/cell. As for the space-group type: Pm-3m, No. 221.

Cell: 4.105 4.105 4.105 Å, 90.00 90.00 90.00°
Fractional coordinates of all 5 atoms:
1 Pd 0.500 0.000 0.000
2 Pd 0.000 0.000 0.500
3 Pd 0.000 0.500 0.000
4 H 0.000 0.000 0.000
5 Lu 0.500 0.500 0.500



2.
Computed, not measured: a relaxed Na2MgNiH6 crystal at the GGA-PBE level of DFT.

Properties
The size of the total moment comes out at 0.0 μB/f.u. The calculation puts the total energy at -31.29 eV/cell. As for the space-group type: Fm-3m, No. 225.

Cell: 5.080 5.080 5.080 Å, 60.00 60.00 60.00°
Fractional coordinates of all 10 atoms:
1 Mg 0.000 0.000 0.000
2 H 0.272 0.272 0.728
3 H 0.728 0.272 0.728
4 H 0.272 0.728 0.728
5 H 0.272 0.728 0.272
6 H 0.728 0.728 0.272
7 H 0.728 0.272 0.272
8 Na 0.250 0.250 0.250
9 Na 0.750 0.750 0.750
10 Ni 0.500 0.500 0.500



3.
Computed, not measured: a relaxed Na2MgH6Pd crystal at the GGA-PBE level of DFT.

Properties
The calculation puts the total energy at -31.10 eV/cell. As for the space-group type: Fm-3m, No. 225.

Cell: 5.248 5.248 5.248 Å, 60.00 60.00 60.00°
Fractional coordinates of all 10 atoms:
1 H 0.764 0.236 0.236
2 H 0.236 0.764 0.764
3 H 0.764 0.236 0.764
4 H 0.236 0.764 0.236
5 H 0.236 0.236 0.764
6 H 0.764 0.764 0.236
7 Pd 0.000 0.000 0.000
8 Mg 0.500 0.500 0.500
9 Na 0.750 0.750 0.750
10 Na 0.250 0.250 0.250



4.
Computed, not measured: a relaxed Na2MgTaH6 crystal at the GGA-PBE level of DFT.

Properties
The size of the total moment comes out at 1.0 μB/f.u. The calculation puts the total energy at -145.45 eV/cell. As for the space-group type: Pnma, No. 62.

Cell: 9.381 5.046 9.629 Å, 90.00 90.00 90.00°
Each line ends with the local moment (μB).
Fractional coordinates of all 40 atoms:
1 H 0.617 0.019 0.074  0.00
2 H 0.101 0.529 0.844  0.00
3 H 0.617 0.481 0.074  0.00
4 H 0.383 0.519 0.926  0.00
5 H 0.283 0.750 0.748  0.00
6 H 0.783 0.750 0.752  0.00
7 H 0.899 0.471 0.156  0.00
8 H 0.117 0.019 0.426  0.00
9 H 0.399 0.471 0.344  0.00
10 H 0.601 0.971 0.656  0.00
11 H 0.883 0.981 0.574  0.00
12 H 0.883 0.519 0.574  0.00
13 H 0.916 0.250 0.936  0.00
14 H 0.717 0.250 0.252  0.00
15 H 0.416 0.250 0.564  0.00
16 H 0.101 0.971 0.844  0.00
17 H 0.117 0.481 0.426  0.00
18 H 0.601 0.529 0.656  0.00
19 H 0.217 0.250 0.248  0.00
20 H 0.584 0.750 0.436  0.00
21 H 0.399 0.029 0.344  0.00
22 H 0.084 0.750 0.064  0.00
23 H 0.383 0.981 0.926  0.00
24 H 0.899 0.029 0.156  0.00
25 Ta 0.730 0.750 0.564  0.45
26 Ta 0.230 0.750 0.936  0.45
27 Ta 0.770 0.250 0.064  0.45
28 Ta 0.270 0.250 0.436  0.45
29 Mg 0.413 0.750 0.558  0.01
30 Mg 0.087 0.250 0.058  0.01
31 Mg 0.587 0.250 0.442  0.01
32 Mg 0.913 0.750 0.942  0.01
33 Na 0.305 0.250 0.769  0.02
34 Na 0.920 0.250 0.382  0.00
35 Na 0.420 0.250 0.118  0.01
36 Na 0.080 0.750 0.618  0.00
37 Na 0.805 0.250 0.731  0.01
38 Na 0.695 0.750 0.231  0.02
39 Na 0.195 0.750 0.269  0.01
40 Na 0.580 0.750 0.882  0.01



5.
Computed, not measured: a relaxed Na2MgH6W crystal at the GGA-PBE level of DFT.

Properties
The size of the total moment comes out at 0.1 μB/f.u. The calculation puts the total energy at -75.61 eV/cell. As for the space-group type: C2/c, No. 15.

Cell: 6.729 6.729 4.826 Å, 91.99 91.99 85.37°
Each line ends with the local moment (μB).
Fractional coordinates of all 20 atoms:
1 H 0.731 0.023 0.535  0.00
2 H 0.269 0.977 0.465  0.00
3 H 0.270 0.974 0.051  0.00
4 H 0.255 0.492 0.249  0.00
5 H 0.974 0.270 0.551  0.00
6 H 0.508 0.745 0.251  0.00
7 H 0.977 0.269 0.965  0.00
8 H 0.730 0.026 0.949  0.00
9 H 0.492 0.255 0.749  0.00
10 H 0.026 0.730 0.449  0.00
11 H 0.745 0.508 0.751  0.00
12 H 0.023 0.731 0.035  0.00
13 Na 0.549 0.799 0.751  0.00
14 Na 0.451 0.201 0.249  0.00
15 Na 0.799 0.549 0.251  0.00
16 Na 0.201 0.451 0.749  0.00
17 W 0.763 0.237 0.750  0.11
18 W 0.237 0.763 0.250  0.11
19 Mg 0.077 0.923 0.750  0.00
20 Mg 0.923 0.077 0.250  0.00



6.
Computed, not measured: a relaxed NdMgNi4H4 crystal at the GGA-PBE level of DFT.

Properties
The size of the total moment comes out at 0.0 μB/f.u. The calculation puts the total energy at -89.98 eV/cell. As for the space-group type: Pmn2_1, No. 31.

Cell: 5.062 5.475 7.340 Å, 90.00 90.00 90.00°
Fractional coordinates of all 20 atoms:
1 H 0.746 0.492 0.258
2 H 0.000 0.279 0.010
3 H 0.500 0.721 0.510
4 H 0.754 0.508 0.758
5 H 0.254 0.492 0.258
6 H 0.000 0.060 0.325
7 H 0.246 0.508 0.758
8 H 0.500 0.940 0.825
9 Ni 0.500 0.993 0.604
10 Ni 0.744 0.230 0.379
11 Ni 0.256 0.230 0.379
12 Ni 0.000 0.007 0.104
13 Ni 0.756 0.770 0.879
14 Ni 0.000 0.551 0.122
15 Ni 0.500 0.449 0.622
16 Ni 0.244 0.770 0.879
17 Nd 0.000 0.702 0.502
18 Nd 0.500 0.298 0.002
19 Mg 0.000 0.182 0.723
20 Mg 0.500 0.818 0.223



7.
Computed, not measured: a relaxed Mg2NiH crystal at the GGA-PBE level of DFT.

Properties
The size of the total moment comes out at 0.0 μB/f.u. The calculation puts the total energy at -10.84 eV/cell. As for the space-group type: Fm-3m, No. 225.

Cell: 4.281 4.281 4.281 Å, 60.00 60.00 60.00°
Fractional coordinates of all 4 atoms:
1 H 0.500 0.500 0.500
2 Mg 0.750 0.750 0.750
3 Mg 0.250 0.250 0.250
4 Ni 0.000 0.000 0.000



8.
Computed, not measured: a relaxed MgNi2H3 crystal at the GGA-PBE level of DFT.

Properties
The size of the total moment comes out at 0.0 μB/f.u. The value obtained for the distance to the lowest polymorph of the same formula is 0.000 eV/atom. As for the space-group type: Cmce, No. 64.

Cell: 4.939 4.939 4.651 Å, 90.00 90.00 125.92°
Fractional coordinates of all 12 atoms:
1 Ni 0.684 0.316 0.451
2 Ni 0.816 0.184 0.951
3 Ni 0.184 0.816 0.049
4 Ni 0.316 0.684 0.549
5 H 0.539 0.961 0.250
6 H 0.039 0.461 0.250
7 H 0.461 0.039 0.750
8 H 0.000 0.000 0.000
9 H 0.500 0.500 0.500
10 H 0.961 0.539 0.750
11 Mg 0.000 0.000 0.500
12 Mg 0.500 0.500 0.000



9.
Computed, not measured: a relaxed MgNi2H3 crystal at the GGA-PBE level of DFT.

Properties
The size of the total moment comes out at 0.0 μB/f.u. The value obtained for the distance to the lowest polymorph of the same formula is 0.007 eV/atom. As for the space-group type: C2/m, No. 12.

Cell: 4.929 4.929 3.265 Å, 109.19 109.19 124.04°
Fractional coordinates of all 6 atoms:
1 Ni 0.815 0.185 0.500
2 Ni 0.185 0.815 0.500
3 H 0.745 0.255 0.000
4 H 0.255 0.745 0.000
5 H 0.000 0.000 0.500
6 Mg 0.500 0.500 0.500



10.
Computed, not measured: a relaxed MgNi2H3 crystal at the GGA-PBE level of DFT.

Properties
The size of the total moment comes out at 0.0 μB/f.u. The value obtained for the distance to the lowest polymorph of the same formula is 0.008 eV/atom. As for the space-group type: Fmmm, No. 69.

Cell: 4.948 4.942 3.273 Å, 70.77 70.58 38.65°
Fractional coordinates of all 6 atoms:
1 H 0.250 0.250 0.250
2 H 0.750 0.750 0.750
3 H 0.500 0.500 0.500
4 Ni 0.684 0.684 0.316
5 Ni 0.316 0.316 0.684
6 Mg 0.000 0.000 0.000



11.
Computed, not measured: a relaxed MgNi3H2 crystal at the GGA-PBE level of DFT.

Properties
The size of the total moment comes out at 0.0 μB/f.u. The calculation puts the total energy at -78.06 eV/cell. As for the space-group type: P3_121, No. 152.

Cell: 5.273 5.273 6.441 Å, 90.00 90.00 120.00°
Fractional coordinates of all 18 atoms:
1 Mg 0.371 0.000 0.833
2 Mg 0.000 0.371 0.167
3 Mg 0.629 0.629 0.500
4 H 0.663 0.663 0.000
5 H 0.830 0.000 0.333
6 H 0.337 0.000 0.333
7 H 0.000 0.830 0.667
8 H 0.170 0.170 0.000
9 H 0.000 0.337 0.667
10 Ni 0.332 0.492 0.839
11 Ni 0.159 0.668 0.506
12 Ni 0.668 0.159 0.494
13 Ni 0.508 0.841 0.172
14 Ni 0.849 0.000 0.833
15 Ni 0.492 0.332 0.161
16 Ni 0.841 0.508 0.828
17 Ni 0.151 0.151 0.500
18 Ni 0.000 0.849 0.167



12.
Computed, not measured: a relaxed PrMgNi4H4 crystal at the GGA-PBE level of DFT.

Properties
The size of the total moment comes out at 0.0 μB/f.u. The calculation puts the total energy at -89.81 eV/cell. As for the space-group type: Pmn2_1, No. 31.

Cell: 5.057 5.453 7.370 Å, 90.00 90.00 90.00°
Fractional coordinates of all 20 atoms:
1 Pr 0.500 0.294 0.003
2 Pr 0.000 0.706 0.503
3 H 0.745 0.490 0.260
4 H 0.000 0.062 0.327
5 H 0.755 0.510 0.760
6 H 0.245 0.510 0.760
7 H 0.500 0.938 0.827
8 H 0.500 0.720 0.512
9 H 0.255 0.490 0.260
10 H 0.000 0.280 0.012
11 Ni 0.243 0.771 0.883
12 Ni 0.500 0.995 0.606
13 Ni 0.743 0.229 0.383
14 Ni 0.257 0.229 0.383
15 Ni 0.000 0.005 0.106
16 Ni 0.000 0.550 0.125
17 Ni 0.757 0.771 0.883
18 Ni 0.500 0.450 0.625
19 Mg 0.500 0.815 0.226
20 Mg 0.000 0.185 0.726



13.
Computed, not measured: a relaxed Sr2MgNiH6 crystal at the GGA-PBE level of DFT.

Properties
The size of the total moment comes out at 0.0 μB/f.u. The calculation puts the total energy at -34.02 eV/cell. As for the space-group type: Fm-3m, No. 225.

Cell: 5.387 5.387 5.387 Å, 60.00 60.00 60.00°
Fractional coordinates of all 10 atoms:
1 H 0.232 0.232 0.768
2 H 0.768 0.232 0.768
3 H 0.232 0.768 0.768
4 H 0.232 0.768 0.232
5 H 0.768 0.768 0.232
6 H 0.768 0.232 0.232
7 Ni 0.000 0.000 0.000
8 Sr 0.250 0.250 0.250
9 Sr 0.750 0.750 0.750
10 Mg 0.500 0.500 0.500



14.
Computed, not measured: a relaxed PmMgH2 crystal at the GGA-PBE level of DFT.

Properties
The size of the total moment comes out at 0.0 μB/f.u. The calculation puts the total energy at -13.09 eV/cell. As for the space-group type: Fm-3m, No. 225.

Cell: 4.283 4.283 4.283 Å, 120.06 120.06 89.90°
Fractional coordinates of all 4 atoms:
1 Mg 0.500 0.500 0.000
2 Pm 0.000 0.000 0.000
3 H 0.250 0.750 0.500
4 H 0.750 0.250 0.500



15.
Computed, not measured: a relaxed PmMg2H crystal at the GGA-PBE level of DFT.

Properties
The size of the total moment comes out at 0.5 μB/f.u. The calculation puts the total energy at -10.46 eV/cell. As for the space-group type: I4/mmm, No. 139.

Cell: 6.585 6.585 6.585 Å, 146.17 146.17 48.60°
Each line ends with the local moment (μB).
Fractional coordinates of all 4 atoms:
1 Mg 0.250 0.750 0.500  0.00
2 Mg 0.750 0.250 0.500  0.00
3 H 0.500 0.500 0.000  -0.01
4 Pm 0.000 0.000 0.000  0.23



16.
Computed, not measured: a relaxed Sr2MgH6Pt crystal at the GGA-PBE level of DFT.

Properties
The size of the total moment comes out at 0.0 μB/f.u. The calculation puts the total energy at -34.61 eV/cell. As for the space-group type: Fm-3m, No. 225.

Cell: 5.570 5.570 5.570 Å, 60.00 60.00 60.00°
Fractional coordinates of all 10 atoms:
1 Mg 0.000 0.000 0.000
2 H 0.265 0.735 0.265
3 H 0.735 0.265 0.265
4 H 0.735 0.265 0.735
5 H 0.735 0.735 0.265
6 H 0.265 0.735 0.735
7 H 0.265 0.265 0.735
8 Pt 0.500 0.500 0.500
9 Sr 0.250 0.250 0.250
10 Sr 0.750 0.750 0.750



17.
Computed, not measured: a relaxed Pu2MgH8 crystal at the GGA-PBE level of DFT.

Properties
The size of the total moment comes out at 10.0 μB/f.u. The calculation puts the total energy at -60.82 eV/cell. As for the space-group type: Immm, No. 71.

Cell: 6.202 6.202 6.202 Å, 145.04 134.87 58.33°
Each line ends with the local moment (μB).
Fractional coordinates of all 11 atoms:
1 H 0.198 0.698 0.500  -0.03
2 H 0.256 0.500 0.756  -0.02
3 H 0.892 0.144 0.748  -0.03
4 H 0.744 0.500 0.244  -0.02
5 H 0.108 0.856 0.252  -0.03
6 H 0.604 0.856 0.748  -0.03
7 H 0.396 0.144 0.252  -0.03
8 H 0.802 0.302 0.500  -0.03
9 Mg 0.000 0.000 0.000  0.00
10 Pu 0.675 0.675 0.000  4.95
11 Pu 0.325 0.325 0.000  4.95



18.
Computed, not measured: a relaxed SmMg2H7 crystal at the GGA-PBE level of DFT.

Properties
The size of the total moment comes out at 0.0 μB/f.u. The calculation puts the total energy at -138.37 eV/cell. As for the space-group type: P4_12_12, No. 92.

Cell: 6.144 6.144 9.237 Å, 90.00 90.00 90.00°
Fractional coordinates of all 40 atoms:
1 H 0.421 0.937 0.073
2 H 0.937 0.421 0.927
3 H 0.579 0.063 0.573
4 H 0.563 0.921 0.323
5 H 0.245 0.245 0.500
6 H 0.157 0.311 0.748
7 H 0.961 0.967 0.628
8 H 0.437 0.079 0.823
9 H 0.533 0.461 0.878
10 H 0.967 0.961 0.372
11 H 0.461 0.533 0.122
12 H 0.657 0.189 0.002
13 H 0.311 0.157 0.252
14 H 0.079 0.437 0.177
15 H 0.843 0.689 0.248
16 H 0.467 0.539 0.378
17 H 0.689 0.843 0.752
18 H 0.189 0.657 0.998
19 H 0.063 0.579 0.427
20 H 0.255 0.745 0.750
21 H 0.811 0.343 0.498
22 H 0.755 0.755 0.000
23 H 0.921 0.563 0.677
24 H 0.033 0.039 0.872
25 H 0.039 0.033 0.128
26 H 0.539 0.467 0.622
27 H 0.745 0.255 0.250
28 H 0.343 0.811 0.502
29 Sm 0.272 0.272 0.000
30 Sm 0.772 0.228 0.750
31 Sm 0.228 0.772 0.250
32 Sm 0.728 0.728 0.500
33 Mg 0.262 0.030 0.651
34 Mg 0.238 0.530 0.599
35 Mg 0.970 0.738 0.849
36 Mg 0.030 0.262 0.349
37 Mg 0.530 0.238 0.401
38 Mg 0.470 0.762 0.901
39 Mg 0.762 0.470 0.099
40 Mg 0.738 0.970 0.151



19.
Computed, not measured: a relaxed Sm2MgH6 crystal at the GGA-PBE level of DFT.

Properties
The size of the total moment comes out at 0.0 μB/f.u. The calculation puts the total energy at -34.00 eV/cell. As for the space-group type: P-3m1, No. 164.

Cell: 5.438 5.438 3.717 Å, 90.00 90.00 120.00°
Fractional coordinates of all 9 atoms:
1 H 0.813 0.627 0.240
2 H 0.187 0.813 0.760
3 H 0.373 0.187 0.240
4 H 0.627 0.813 0.760
5 H 0.187 0.373 0.760
6 H 0.813 0.187 0.240
7 Sm 0.667 0.333 0.737
8 Sm 0.333 0.667 0.263
9 Mg 0.000 0.000 0.000